# 1
Density functional theory data (GGA-PBE) for a geometry-optimized AsPt3 structure.

a b c (Å): 5.5519 5.5519 4.8537
angles (deg): 90.00 90.00 120.00
Fractional positions:
1 As 0.3333 0.6667 0.2500
2 As 0.6667 0.3333 0.7500
3 Pt 0.1667 0.3334 0.7500
4 Pt 0.1667 0.8333 0.7500
5 Pt 0.3334 0.1667 0.2500
6 Pt 0.6666 0.8333 0.7500
7 Pt 0.8333 0.1667 0.2500
8 Pt 0.8333 0.6666 0.2500

Properties
- VASP energy: -5.67 eV/atom
- Formation energy from the elements: 0.025 eV per atom

---

# 2
Density functional theory data (GGA-PBE) for a geometry-optimized AsPt structure.

a b c (Å): 5.8850 5.8850 5.6146
angles (deg): 103.15 103.15 35.61
Fractional positions:
1 As 0.0000 0.0000 0.0000
2 As 0.0384 0.0384 0.5892
3 As 0.3094 0.3094 0.4155
4 Pt 0.3457 0.3457 0.9838
5 Pt 0.6791 0.6791 0.1598
6 Pt 0.6928 0.6928 0.6760

Properties
- VASP energy: -5.51 eV/atom
- Formation energy from the elements: -0.166 eV per atom